[1]
First-principles (PBE-GGA) data for UGaBi2 after structural relaxation, as listed in the Alexandria database.

Offset from the most stable computed form: 0 meV/atom
E: -22.03 eV/cell
Formation energy: 11 meV/atom
Crystal system: tetragonal

Unit cell a=4.3926 b=4.8667 c=4.8667 alpha=90.00 beta=90.00 gamma=90.00
Last column: nearest neighbours and their distance in Å.
Element x y z (fractional)
U 0.5000 0.5000 0.5000  8 Bi 3.28, 4 Ga 3.44
Bi 0.0000 0.0000 0.5000  4 U 3.28, 4 Ga 3.28, 4 Bi 3.44
Bi 0.0000 0.5000 0.0000  4 U 3.28, 4 Ga 3.28, 4 Bi 3.44
Ga 0.5000 0.0000 0.0000  8 Bi 3.28, 4 U 3.44



[2]
First-principles (PBE-GGA) data for Ba3Tl2Ag2Hg4 after structural relaxation, as listed in the Alexandria database.

E: -20.81 eV/cell
Formation energy: -309 meV/atom
Crystal system: trigonal

Unit cell a=5.1185 b=5.1185 c=16.1014 alpha=90.00 beta=90.00 gamma=120.00
Last column: nearest neighbours and their distance in Å.
Element x y z (fractional)
Ba 0.0000 0.0000 0.7396  6 Hg 3.47-3.63, 3 Ag 3.60
Ba 0.0000 0.0000 0.0000  6 Hg 3.62, 6 Ag 3.65
Ba 0.0000 0.0000 0.2604  6 Hg 3.47-3.63, 3 Ag 3.60
Tl 0.6667 0.3333 0.4355  4 Hg 3.08-3.12
Tl 0.3333 0.6667 0.5645  4 Hg 3.08-3.12
Ag 0.6667 0.3333 0.8675  3 Hg 2.96
Ag 0.3333 0.6667 0.1325  3 Hg 2.96
Hg 0.6667 0.3333 0.1296  3 Ag 2.96
Hg 0.3333 0.6667 0.8704  3 Ag 2.96
Hg 0.6667 0.3333 0.6265  4 Tl 3.08-3.12
Hg 0.3333 0.6667 0.3735  4 Tl 3.08-3.12



What is the formation energy in the second record?
-309 meV/atom